DFT (PBE) results for a relaxed structure of LiSe2Cl.

Cell: 3.667 3.667 34.544 Å, 90.00 90.00 90.00°
Space group I-42d (No. 122)
One atom of each set of equivalent atoms:
Li: 0.000 0.000 0.000 x4
Se: 0.250 0.250 0.125 x8
Cl: 0.000 0.000 0.500 x4

## Properties
The value obtained for the density of states at the Fermi level is 1.064 states/eV/f.u. For the energy relative to the elements, uncorrected, the calculation gives -719 meV/atom. The calculation puts the magnetization at 0.0000 μB/atom. The value obtained for the calculated volume is 29.027 Å³/atom. Its polymorph energy (0 for the lowest one) is 0.20 eV/f.u.

***

DFT (PBE) results for a relaxed structure of HoSc5Cu6.

Cell: 4.667 6.534 14.035 Å, 90.00 90.00 90.00°
Space group Immm (No. 71)
One atom of each set of equivalent atoms:
Ho: 0.000 0.000 0.000 x2
Sc: 0.000 0.000 0.333 x4
Sc: 0.000 0.500 0.000 x2
Sc: 0.000 0.500 0.333 x4
Cu: 0.000 0.233 0.500 x4
Cu: 0.000 0.258 0.171 x8

## Properties
The value obtained for the density of states at the Fermi level is 7.232 states/eV/f.u. The calculation puts the magnetization at 0.0000 μB/atom. The value obtained for the calculated volume is 17.833 Å³/atom. The calculation puts the electronic total energy at -5.336 eV per atom.

***

DFT (PBE) results for a relaxed structure of PmPuBr6.

Cell: 7.1654 7.1654 20.0799 Å, 90.00 90.00 120.00°
Space group R-3 (No. 148, hexagonal axes)
One atom of each set of equivalent atoms:
Pm: 0.0000 0.0000 0.0000 x3
Pu: 0.0000 0.0000 0.5000 x3
Br: 0.0027 0.3435 0.2509 x18

## Properties
The value obtained for the density of states at the Fermi level is 10.281 states/eV/f.u. For the energy relative to the elements, uncorrected, the calculation gives -1646 meV/atom. The calculation puts the magnetization at 0.6250 μB/atom. The value obtained for the calculated volume is 37.203 Å³/atom. Its polymorph energy (0 for the lowest one) is 0.12 eV/f.u.

***

magnetization of number 3 (PmPuBr6)?
0.6250 μB/atom